VASP calculation (PBE) on a relaxed Pd3BrF7 crystal.

ΔE_f (raw) (kcal/mol of atoms): -24.24
M_tot (μB per formula unit): 2.03
E (eV/atom): -3.8105

CIF file:
```
data_Pd3BrF7
_cell_length_a 10.1152
_cell_length_b 6.7989
_cell_length_c 7.0481
_cell_angle_alpha 90.00
_cell_angle_beta 123.69
_cell_angle_gamma 90.00
_symmetry_space_group_name_H-M 'C 1 m 1'
_symmetry_Int_Tables_number 8
_symmetry_space_group_name_Hall 'C -2y'
loop_
_atom_site_label
_atom_site_type_symbol
_atom_site_fract_x
_atom_site_fract_y
_atom_site_fract_z
Pd1 Pd 0.0000 0.0000 0.0000
Pd2 Pd 0.2486 0.2481 0.5029
Br1 Br 0.1799 0.5000 0.7097
F1 F 0.0168 0.2081 0.2127
F2 F 0.2279 0.0000 0.6486
F3 F 0.2711 0.5000 0.3587
F4 F 0.2720 0.0000 0.3134
F5 F 0.4866 0.2894 0.7884
```

---

VASP calculation (PBE) on a relaxed PdBrF2 crystal.

ΔE_f (raw) (kcal/mol of atoms): -17.93
M_tot (μB per formula unit): 0.06
Polymorph energy (0 for the lowest one) (eV/f.u.): 0.14
E (eV/atom): -3.4294

CIF file:
```
data_PdBrF2
_cell_length_a 4.1039
_cell_length_b 4.8378
_cell_length_c 9.3509
_cell_angle_alpha 96.92
_cell_angle_beta 92.15
_cell_angle_gamma 93.12
_symmetry_space_group_name_H-M 'P 1'
_symmetry_Int_Tables_number 1
_symmetry_space_group_name_Hall 'P 1'
loop_
_atom_site_label
_atom_site_type_symbol
_atom_site_fract_x
_atom_site_fract_y
_atom_site_fract_z
Pd1 Pd 0.0000 0.0000 0.0000
Pd2 Pd 0.5002 0.4998 0.0006
Br1 Br 0.7291 0.0075 0.5371
Br2 Br 0.7665 0.4901 0.4617
F1 F 0.2372 0.2163 0.8578
F2 F 0.2632 0.2834 0.1427
F3 F 0.7364 0.7146 0.8578
F4 F 0.7642 0.7849 0.1428
```

---

VASP calculation (PBE) on a relaxed PdBrF2 crystal.

ΔE_f (raw) (kcal/mol of atoms): -6.85
M_tot (μB per formula unit): 0.00
Polymorph energy (0 for the lowest one) (eV/f.u.): 2.06
E (eV/atom): -2.9490

CIF file:
```
data_PdBrF2
_cell_length_a 3.8596
_cell_length_b 3.8596
_cell_length_c 16.0460
_cell_angle_alpha 90.00
_cell_angle_beta 90.00
_cell_angle_gamma 90.00
_symmetry_space_group_name_H-M 'I -4 2 d'
_symmetry_Int_Tables_number 122
_symmetry_space_group_name_Hall 'I -4 2bw'
loop_
_atom_site_label
_atom_site_type_symbol
_atom_site_fract_x
_atom_site_fract_y
_atom_site_fract_z
Pd1 Pd 0.0000 0.0000 0.0000
Br1 Br 0.0000 0.0000 0.5000
F1 F 0.2219 0.2500 0.1250
```

---

VASP calculation (PBE) on a relaxed Rb2PdBr6F crystal.

ΔE_f (raw) (kcal/mol of atoms): -20.68
M_tot (μB per formula unit): 0.00
E (eV/atom): -2.8005

CIF file:
```
data_Rb2PdBr6F
_cell_length_a 7.2524
_cell_length_b 7.2524
_cell_length_c 11.3597
_cell_angle_alpha 90.00
_cell_angle_beta 90.00
_cell_angle_gamma 90.00
_symmetry_space_group_name_H-M 'I 4/m m m'
_symmetry_Int_Tables_number 139
_symmetry_space_group_name_Hall '-I 4 2'
loop_
_atom_site_label
_atom_site_type_symbol
_atom_site_fract_x
_atom_site_fract_y
_atom_site_fract_z
Rb1 Rb 0.0000 0.5000 0.2500
Pd1 Pd 0.0000 0.0000 0.0000
Br1 Br 0.0000 0.0000 0.2203
Br2 Br 0.2471 0.2471 0.0000
F1 F 0.0000 0.0000 0.5000
```

---

VASP calculation (PBE) on a relaxed Rb2PdBr2F4 crystal.

ΔE_f (raw) (kcal/mol of atoms): -39.05
M_tot (μB per formula unit): 0.00
E (eV/atom): -3.6888

CIF file:
```
data_Rb2PdBr2F4
_cell_length_a 7.0423
_cell_length_b 7.0423
_cell_length_c 8.3421
_cell_angle_alpha 90.00
_cell_angle_beta 90.00
_cell_angle_gamma 90.00
_symmetry_space_group_name_H-M 'I 4/m m m'
_symmetry_Int_Tables_number 139
_symmetry_space_group_name_Hall '-I 4 2'
loop_
_atom_site_label
_atom_site_type_symbol
_atom_site_fract_x
_atom_site_fract_y
_atom_site_fract_z
Rb1 Rb 0.0000 0.5000 0.2500
Pd1 Pd 0.0000 0.0000 0.0000
Br1 Br 0.0000 0.0000 0.2990
F1 F 0.1981 0.1981 0.0000
```

---

VASP calculation (PBE) on a relaxed RbPdBr2F8 crystal.

ΔE_f (raw) (kcal/mol of atoms): -29.38
M_tot (μB per formula unit): 0.26
E (eV/atom): -3.3139

CIF file:
```
data_RbPdBr2F8
_cell_length_a 11.0527
_cell_length_b 5.8412
_cell_length_c 7.0070
_cell_angle_alpha 90.00
_cell_angle_beta 96.13
_cell_angle_gamma 90.00
_symmetry_space_group_name_H-M 'C 1 2/m 1'
_symmetry_Int_Tables_number 12
_symmetry_space_group_name_Hall '-C 2y'
loop_
_atom_site_label
_atom_site_type_symbol
_atom_site_fract_x
_atom_site_fract_y
_atom_site_fract_z
Rb1 Rb 0.0000 0.0000 0.0000
Pd1 Pd 0.0000 0.5000 0.5000
Br1 Br 0.2008 0.5000 0.3563
F1 F 0.0600 0.2635 0.6818
F2 F 0.1261 0.5000 0.1023
F3 F 0.2164 0.0000 0.3906
```